[1]
AlSNCl3: PBEsol geometry, SCAN.

Unit cell a=7.2328 b=9.6112 c=9.3945 alpha=90.00 beta=116.83 gamma=90.00
Space group P2_1/c (No. 14)
Inequivalent atoms, fractional coordinates:
Al: 0.2477 0.1294 0.1485
S: 0.3534 0.5361 0.3736
N: 0.3905 0.0424 0.0414
Cl: 0.0716 0.5233 0.7017
Cl: 0.1001 0.1832 0.5424
Cl: 0.4634 0.6675 0.1435

E_tot: -9.428 eV per atom
E_form (uncorrected): -5.966 eV/f.u.
Total magnetization: 0.0 μB/cell

[2]
MgNiMoH2: PBEsol geometry, SCAN.

Unit cell a=3.6803 b=3.6803 c=4.4973 alpha=90.00 beta=90.00 gamma=90.00
Space group P4/mmm (No. 123)
Inequivalent atoms, fractional coordinates:
Mg: 0.0000 0.0000 0.0000
Ni: 0.5000 0.5000 0.5000
Mo: 0.5000 0.5000 0.0000
H: 0.0000 0.5000 0.5000

E_tot: -11.594 eV per atom
Total magnetization: 0.0 μB/cell

[3]
LaPIr2: PBEsol geometry, SCAN.

Unit cell a=8.2499 b=3.9743 c=5.1074 alpha=90.00 beta=109.68 gamma=90.00
Space group Cm (No. 8)
Inequivalent atoms, fractional coordinates:
La: 0.0000 0.0000 0.0000
P: 0.2182 0.0000 0.6188
Ir: 0.2689 0.5000 0.4053
Ir: 0.4694 0.0000 0.4513

E_tot: -49.663 eV per atom
Total magnetization: 0.0 μB/cell
Energy of formation: -0.74 eV/atom

[4]
Pt2PbBr: PBEsol geometry, SCAN.

Unit cell a=6.7255 b=6.7255 c=6.7255 alpha=90.00 beta=90.00 gamma=90.00
Space group Fm-3m (No. 225)
Inequivalent atoms, fractional coordinates:
Pt: 0.2500 0.2500 0.2500
Pb: 0.0000 0.0000 0.0000
Br: 0.0000 0.0000 0.5000

Offset from the most stable computed form: 0.233 eV/atom
E_tot: -58.413 eV per atom
E_form (uncorrected): 1.977 eV/f.u.
Total magnetization: 0.0 μB/cell

[5]
ScRh: PBEsol geometry, SCAN.

Unit cell a=3.7322 b=3.7322 c=9.4206 alpha=90.00 beta=90.00 gamma=90.00
Space group I4_1/amd (No. 141, origin choice 2)
Inequivalent atoms, fractional coordinates:
Sc: 0.0000 0.2500 0.3750
Rh: 0.0000 0.2500 0.8750

E_tot: -24.900 eV per atom
Total magnetization: 0.0 μB/cell
Energy of formation: -0.90 eV/atom

[6]
La2AlAu: PBEsol geometry, SCAN.

Unit cell a=3.7467 b=5.0154 c=10.7156 alpha=90.00 beta=90.00 gamma=90.00
Space group Imm2 (No. 44)
Inequivalent atoms, fractional coordinates:
La: 0.0000 0.0000 0.0000
La: 0.0000 0.5000 0.2098
Al: 0.0000 0.0000 0.4250
Au: 0.0000 0.5000 0.7556

E_tot: -41.493 eV per atom
Total magnetization: 0.0 μB/cell
Energy of formation: -0.71 eV/atom

[7]
TaPt2SeI: PBEsol geometry, SCAN.

Unit cell a=4.6116 b=4.6116 c=5.3210 alpha=90.00 beta=90.00 gamma=90.00
Space group P4/mmm (No. 123)
Inequivalent atoms, fractional coordinates:
Ta: 0.0000 0.0000 0.0000
Pt: 0.0000 0.5000 0.5000
Se: 0.5000 0.5000 0.5000
I: 0.5000 0.5000 0.0000

E_tot: -51.399 eV per atom
E_form (uncorrected): 6.796 eV/f.u.
Total magnetization: 3.0 μB/cell

[8]
HgP4Pb: PBEsol geometry, SCAN.

Unit cell a=8.0513 b=8.0513 c=8.0513 alpha=90.00 beta=90.00 gamma=90.00
Space group F-43m (No. 216)
Inequivalent atoms, fractional coordinates:
Hg: 0.0000 0.0000 0.0000
P: 0.1510 0.1510 0.6510
Pb: 0.2500 0.2500 0.2500

E_tot: -30.483 eV per atom
Total magnetization: 0.0 μB/cell
Energy of formation: 0.44 eV/atom

[9]
Cs3SrBe: PBEsol geometry, SCAN.

Unit cell a=8.5884 b=8.5884 c=8.5884 alpha=90.00 beta=90.00 gamma=90.00
Space group Pm-3m (No. 221)
Inequivalent atoms, fractional coordinates:
Cs: 0.0000 0.0000 0.5000
Sr: 0.0000 0.0000 0.0000
Be: 0.5000 0.5000 0.5000

E_tot: -26.968 eV per atom
Total magnetization: 0.0 μB/cell
Energy of formation: 1.04 eV/atom

[10]
Rb4TlSbCl12: PBEsol geometry, SCAN.

Unit cell a=7.1688 b=7.1688 c=10.1882 alpha=90.00 beta=90.00 gamma=90.00
Space group P4/mmm (No. 123)
Inequivalent atoms, fractional coordinates:
Rb: 0.0000 0.5000 0.2186
Tl: 0.0000 0.0000 0.0000
Sb: 0.5000 0.5000 0.5000
Cl: 0.0000 0.0000 0.2553
Cl: 0.2549 0.2549 0.0000
Cl: 0.2639 0.2639 0.5000
Cl: 0.5000 0.5000 0.2646

E_tot: -17.474 eV per atom
E_form (uncorrected): -26.229 eV/f.u.
Total magnetization: 0.0 μB/cell

[11]
DyLuCd2: PBEsol geometry, SCAN.

Unit cell a=7.2774 b=7.2774 c=7.2774 alpha=90.00 beta=90.00 gamma=90.00
Space group Fm-3m (No. 225)
Inequivalent atoms, fractional coordinates:
Dy: 0.0000 0.0000 0.0000
Lu: 0.0000 0.0000 0.5000
Cd: 0.2500 0.2500 0.2500

E_tot: -41.415 eV per atom
Total magnetization: 0.0 μB/cell
Energy of formation: -0.42 eV/atom

[12]
Gd2AlZn: PBEsol geometry, SCAN.

Unit cell a=7.1455 b=7.1455 c=7.1455 alpha=90.00 beta=90.00 gamma=90.00
Space group Fm-3m (No. 225)
Inequivalent atoms, fractional coordinates:
Gd: 0.2500 0.2500 0.2500
Al: 0.0000 0.0000 0.0000
Zn: 0.0000 0.0000 0.5000

E_tot: -35.109 eV per atom
Total magnetization: 60.4 μB/cell
Energy of formation: -0.38 eV/atom